Computed, not measured: a relaxed structure of Sc2ZnAu2 at the PBE level of DFT.

a b c (Å): 3.8512 3.8512 14.2486
angles (deg): 90.00 90.00 90.00
With the nearest neighbours (Å) after each atom.
Space group I4/mmm (No. 139)
Unique sites:
Sc  0.0000  0.0000  0.1028 [4 per cell]  4 Au 2.85, 1 Sc 2.93, 4 Zn 3.09
Zn  0.0000  0.0000  0.5000 [2 per cell]  8 Sc 3.09
Au  0.0000  0.5000  0.2500 [4 per cell]  4 Au 2.72, 4 Sc 2.85

DFT total energy ... -4.308 eV per atom
V ... 21.13 Å³/atom
Crystal system ... tetragonal

---

Computed, not measured: a relaxed structure of ZrScAu6 at the PBE level of DFT.

a b c (Å): 4.8762 6.0304 4.9964
angles (deg): 90.00 90.00 90.00
With the nearest neighbours (Å) after each atom.
Space group Pmm2 (No. 25)
Unique sites:
Zr  0.0000  0.0000  0.0000 [1 per cell]  12 Au 2.90-3.02
Sc  0.5000  0.5000  0.6862 [1 per cell]  12 Au 2.89-3.02
Au  0.0000  0.2532  0.5057 [2 per cell]  8 Au 2.89-3.05, 2 Zr 2.90-2.95, 2 Sc 3.00
Au  0.0000  0.5000  0.0013 [1 per cell]  8 Au 2.89-3.01, 2 Sc 2.90, 2 Zr 3.02
Au  0.5000  0.0000  0.6840 [1 per cell]  8 Au 2.89-3.01, 2 Zr 2.90, 2 Sc 3.02
Au  0.5000  0.2482  0.1787 [2 per cell]  8 Au 2.89-3.04, 2 Sc 2.89-2.96, 2 Zr 3.00

DFT total energy ... -4.887 eV per atom
V ... 18.37 Å³/atom
Crystal system ... orthorhombic

---

- Number 1 is which compound?
  Sc2ZnAu2

---

What did the second record say?
Computed, not measured: a relaxed structure of ZrScAu6 at the PBE level of DFT.

a b c (Å): 4.8762 6.0304 4.9964
angles (deg): 90.00 90.00 90.00
With the nearest neighbours (Å) after each atom.
Space group Pmm2 (No. 25)
Unique sites:
Zr  0.0000  0.0000  0.0000 [1 per cell]  12 Au 2.90-3.02
Sc  0.5000  0.5000  0.6862 [1 per cell]  12 Au 2.89-3.02
Au  0.0000  0.2532  0.5057 [2 per cell]  8 Au 2.89-3.05, 2 Zr 2.90-2.95, 2 Sc 3.00
Au  0.0000  0.5000  0.0013 [1 per cell]  8 Au 2.89-3.01, 2 Sc 2.90, 2 Zr 3.02
Au  0.5000  0.0000  0.6840 [1 per cell]  8 Au 2.89-3.01, 2 Zr 2.90, 2 Sc 3.02
Au  0.5000  0.2482  0.1787 [2 per cell]  8 Au 2.89-3.04, 2 Sc 2.89-2.96, 2 Zr 3.00

DFT total energy ... -4.887 eV per atom
V ... 18.37 Å³/atom
Crystal system ... orthorhombic

---

- Look up the V of the second one.
  18.37 Å³/atom